Record 1
The following is a DFT calculation (SCAN) of AlGe3I at its PBEsol-relaxed geometry.

Cell lengths 4.9463, 4.9463, 4.9463 Å; angles 90.00, 90.00, 90.00 degrees
Fractional positions:
Al (0.0000, 0.0000, 0.0000)
Ge (0.0000, 0.0000, 0.5000)
Ge (0.0000, 0.5000, 0.0000)
Ge (0.5000, 0.0000, 0.0000)
I (0.5000, 0.5000, 0.5000)

Values from the calculation:
SG	No. 221
formation energy from raw total energies	673	meV per atom
M_tot	0.0	μB/f.u.
final energy	-98.391	eV/cell


Record 2
The following is a DFT calculation (SCAN) of AlGeI2O at its PBEsol-relaxed geometry.

Cell lengths 5.6543, 5.6543, 3.4797 Å; angles 90.00, 90.00, 90.00 degrees
Fractional positions:
Al (0.0000, 0.0000, 0.0000)
Ge (0.5000, 0.5000, 0.5000)
I (0.0000, 0.5000, 0.0000)
I (0.5000, 0.0000, 0.0000)
O (0.0000, 0.0000, 0.5000)

Values from the calculation:
SG	No. 123
formation energy from raw total energies	-655	meV per atom
M_tot	0.0	μB/f.u.
final energy	-109.830	eV/cell